Entry from the Alexandria database: a relaxed structure of Pr3NpTe6 (PBE).

The structure in extended XYZ format:
```
20
Lattice="12.8087 0.0000 0.0000 0.0000 4.4750 0.0000 -4.2936 0.0000 12.4025" Properties=species:S:1:pos:R:3 pbc="T T T"
Pr 0.2650 1.1188 2.0786
Pr 0.1654 3.3563 6.2454
Pr 0.4487 1.1188 11.4651
Pr 8.0664 3.3563 0.9374
Pr 8.3497 1.1188 6.1571
Pr 8.2500 3.3563 10.3239
Np 4.5248 1.1188 3.8393
Np 3.9902 3.3563 8.5632
Te -1.4537 1.1188 4.7054
Te -2.6950 1.1188 11.5642
Te 2.0799 3.3563 3.5236
Te 0.7885 3.3563 9.3076
Te 2.6983 1.1188 6.6548
Te 4.8758 3.3563 1.3462
Te 3.6393 1.1188 11.0563
Te 5.8167 3.3563 5.7477
Te 7.7265 1.1188 3.0949
Te 6.4351 1.1188 8.8789
Te 11.2100 3.3563 0.8383
Te 9.9688 3.3563 7.6971
```

The total magnetization is 4.00 μB/f.u. The calculation puts the raw formation energy at -1.211 eV/atom. The space group is P2_1/m (11).

---

Entry from the Alexandria database: a relaxed structure of PrNpTe6 (PBE).

The structure in extended XYZ format:
```
8
Lattice="4.3967 0.0000 0.0000 0.0000 2.1980 13.4418 0.0000 -2.1980 13.4418" Properties=species:S:1:pos:R:3 pbc="T T T"
Pr 0.0000 0.0000 0.0000
Np 2.1983 0.0000 9.1949
Te 0.0000 0.0000 6.8016
Te 0.0000 0.0000 15.9918
Te 0.0000 0.0000 23.5160
Te 2.1983 0.0000 2.5520
Te 2.1983 0.0000 12.4312
Te 2.1983 0.0000 20.2432
```

The total magnetization is 3.56 μB/f.u. The calculation puts the raw formation energy at -0.765 eV/atom. The space group is Amm2 (38).

---

Entry from the Alexandria database: a relaxed structure of PrNpTe3 (PBE).

The structure in extended XYZ format:
```
20
Lattice="7.9205 0.0000 0.0000 0.0000 7.7170 0.0000 -4.2378 0.0000 11.0078" Properties=species:S:1:pos:R:3 pbc="T T T"
Pr 0.5311 1.6496 1.4847
Pr -1.5878 2.2089 6.9886
Pr 5.2705 5.5081 4.0192
Pr 3.1517 6.0674 9.5231
Np 3.5946 5.4083 0.4781
Np 1.4757 6.1672 5.9820
Np 2.2070 1.5498 5.0257
Np 0.0881 2.3087 10.5296
Te -0.6505 0.2843 4.4553
Te -2.7694 3.5742 9.9592
Te -2.1448 0.0721 10.1861
Te -0.0259 3.7863 4.6823
Te 0.3317 4.8110 8.5346
Te 2.4506 6.7645 3.0307
Te 1.2322 0.9525 7.9771
Te 3.3510 2.9060 2.4732
Te 3.7086 3.9306 6.3255
Te 5.8275 7.6448 0.8216
Te 6.4521 4.1428 1.0486
Te 4.3332 7.4327 6.5525
```

The total magnetization is 4.00 μB/f.u. The calculation puts the raw formation energy at -0.949 eV/atom. The space group is P2_1/c (14).

---

Entry from the Alexandria database: a relaxed structure of PrNpTe2 (PBE).

The structure in extended XYZ format:
```
4
Lattice="0.0000 3.8598 3.8598 3.8598 0.0000 3.8598 3.8598 3.8598 0.0000" Properties=species:S:1:pos:R:3 pbc="T T T"
Pr 0.0000 0.0000 0.0000
Np 3.8598 3.8598 3.8598
Te 1.9299 1.9299 1.9299
Te 5.7897 5.7897 5.7897
```

The total magnetization is 5.53 μB/f.u. The calculation puts the raw formation energy at -0.871 eV/atom. The space group is Fm-3m (225).

---

Entry from the Alexandria database: a relaxed structure of PrNp3Tl4Te8 (PBE).

The structure in extended XYZ format:
```
16
Lattice="7.8362 -4.5170 0.0000 7.8362 4.5170 0.0000 -5.2300 0.0000 8.1720" Properties=species:S:1:pos:R:3 pbc="T T T"
Pr 0.0000 0.0000 0.0000
Np 3.9181 2.2585 0.0000
Np 3.9181 -2.2585 0.0000
Np 7.8362 0.0000 0.0000
Tl -2.6150 0.0000 4.0860
Tl 1.3031 2.2585 4.0860
Tl 1.3031 -2.2585 4.0860
Tl 5.2212 0.0000 4.0860
Te 2.6564 0.0000 1.7778
Te 6.5072 2.2171 1.7777
Te -0.0018 0.0000 6.4367
Te 3.9352 2.2171 6.3943
Te 6.5072 -2.2171 1.7777
Te 10.4442 0.0000 1.7353
Te 3.9352 -2.2171 6.3943
Te 7.7860 0.0000 6.3942
```

The total magnetization is 12.00 μB/f.u. The calculation puts the raw formation energy at -0.687 eV/atom. The space group is C2/m (12).

---

Entry from the Alexandria database: a relaxed structure of Pr3NpTl3Te8 (PBE).

The structure in extended XYZ format:
```
15
Lattice="4.5477 2.6256 8.2300 -4.5477 2.6256 8.2300 0.0000 -5.2513 8.2300" Properties=species:S:1:pos:R:3 pbc="T T T"
Pr -2.2739 -1.3128 8.2300
Pr -2.2739 1.3128 16.4599
Pr 0.0000 2.6256 8.2300
Np 0.0000 0.0000 0.0000
Tl -4.5477 0.0000 12.3449
Tl -2.2739 1.3128 4.1150
Tl 2.2739 1.3128 4.1150
Te 0.0000 -2.7221 10.0007
Te -2.3574 1.3610 10.0007
Te -2.3574 -1.3610 14.6891
Te 0.0000 0.0000 6.3920
Te 0.0000 0.0000 18.2979
Te 2.3574 1.3610 10.0008
Te 2.3574 -1.3610 14.6892
Te 0.0000 2.7221 14.6892
```

The total magnetization is 3.02 μB/f.u. The calculation puts the raw formation energy at -0.969 eV/atom. The space group is R-3m (166).